[1]
## AcPmMg2Tl4 (PBE-GGA)

Data for a relaxed structure of AcPmMg2Tl4.

Computed properties:
VASP energy = -2.95 eV per atom
symmetry = R-3m (166)

a = 11.337 Å, b = 11.337 Å, c = 11.337 Å
α = 25.16°, β = 25.16°, γ = 25.16°
Sites, in units of the cell vectors:
Ac 0.000 0.000 0.000
Pm 0.500 0.500 0.500
Mg 0.245 0.245 0.245
Mg 0.755 0.755 0.755
Tl 0.120 0.120 0.120
Tl 0.391 0.391 0.391
Tl 0.609 0.609 0.609
Tl 0.880 0.880 0.880

=====

[2]
## AcPmTmMg (PBE-GGA)

Data for a relaxed structure of AcPmTmMg.

Computed properties:
VASP energy = -3.70 eV per atom
symmetry = F-43m (216)

a = 5.724 Å, b = 5.724 Å, c = 5.724 Å
α = 60.00°, β = 60.00°, γ = 60.00°
Sites, in units of the cell vectors:
Ac 0.000 0.000 0.000
Pm 0.500 0.500 0.500
Tm 0.250 0.250 0.250
Mg 0.750 0.750 0.750

=====

[3]
## AcPmYMg (PBE-GGA)

Data for a relaxed structure of AcPmYMg.

Computed properties:
VASP energy = -4.11 eV per atom
symmetry = F-43m (216)

a = 5.749 Å, b = 5.749 Å, c = 5.749 Å
α = 60.00°, β = 60.00°, γ = 60.00°
Sites, in units of the cell vectors:
Ac 0.000 0.000 0.000
Pm 0.750 0.750 0.750
Y 0.250 0.250 0.250
Mg 0.500 0.500 0.500

=====

[4]
## AcPmYMg (PBE-GGA)

Data for a relaxed structure of AcPmYMg.

Computed properties:
VASP energy = -4.25 eV per atom
symmetry = P4mm (99)

a = 3.839 Å, b = 3.839 Å, c = 9.062 Å
α = 90.00°, β = 90.00°, γ = 90.00°
Sites, in units of the cell vectors:
Ac 0.000 0.000 0.000
Pm 0.500 0.500 0.292
Y 0.500 0.500 0.713
Mg 0.000 0.000 0.509

=====

[5]
## Ac6PrMg (PBE-GGA)

Data for a relaxed structure of Ac6PrMg.

Computed properties:
VASP energy = -3.85 eV per atom
symmetry = I4/mmm (139)

a = 11.491 Å, b = 11.491 Å, c = 11.491 Å
α = 152.22°, β = 152.22°, γ = 39.69°
Sites, in units of the cell vectors:
Ac 0.118 0.618 0.500
Ac 0.250 0.250 0.000
Ac 0.382 0.882 0.500
Ac 0.618 0.118 0.500
Ac 0.750 0.750 0.000
Ac 0.882 0.382 0.500
Pr 0.000 0.000 0.000
Mg 0.500 0.500 0.000

=====

[6]
## Ac3Pr12Mg (PBE-GGA)

Data for a relaxed structure of Ac3Pr12Mg.

Computed properties:
VASP energy = -4.44 eV per atom
symmetry = P4/mmm (123)

a = 5.291 Å, b = 5.291 Å, c = 21.067 Å
α = 90.00°, β = 90.00°, γ = 90.00°
Sites, in units of the cell vectors:
Ac 0.000 0.000 0.000
Ac 0.000 0.000 0.256
Ac 0.000 0.000 0.744
Pr 0.000 0.500 0.128
Pr 0.000 0.500 0.383
Pr 0.000 0.500 0.617
Pr 0.000 0.500 0.872
Pr 0.500 0.000 0.128
Pr 0.500 0.000 0.383
Pr 0.500 0.000 0.617
Pr 0.500 0.000 0.872
Pr 0.500 0.500 0.000
Pr 0.500 0.500 0.258
Pr 0.500 0.500 0.500
Pr 0.500 0.500 0.742
Mg 0.000 0.000 0.500

=====

[7]
## Ac7PrMg4 (PBE-GGA)

Data for a relaxed structure of Ac7PrMg4.

Computed properties:
VASP energy = -3.19 eV per atom
symmetry = C2/m (12)

a = 8.757 Å, b = 8.757 Å, c = 10.560 Å
α = 119.26°, β = 119.26°, γ = 42.26°
Sites, in units of the cell vectors:
Ac 0.000 0.000 0.000
Ac 0.242 0.242 0.707
Ac 0.308 0.308 0.126
Ac 0.419 0.419 0.579
Ac 0.581 0.581 0.421
Ac 0.692 0.692 0.874
Ac 0.758 0.758 0.293
Pr 0.500 0.500 0.000
Mg 0.031 0.031 0.687
Mg 0.176 0.176 0.346
Mg 0.824 0.824 0.654
Mg 0.969 0.969 0.313

=====

[8]
## Ac4Pr2Mg (PBE-GGA)

Data for a relaxed structure of Ac4Pr2Mg.

Computed properties:
VASP energy = -3.41 eV per atom
symmetry = P-42m (111)

a = 5.172 Å, b = 5.172 Å, c = 11.908 Å
α = 90.00°, β = 90.00°, γ = 90.00°
Sites, in units of the cell vectors:
Ac 0.242 0.242 0.235
Ac 0.242 0.758 0.765
Ac 0.758 0.242 0.765
Ac 0.758 0.758 0.235
Pr 0.000 0.500 0.500
Pr 0.500 0.000 0.500
Mg 0.500 0.500 0.000

=====

[9]
## AcPrMg10 (PBE-GGA)

Data for a relaxed structure of AcPrMg10.

Computed properties:
VASP energy = -2.13 eV per atom
symmetry = Pmmm (47)

a = 4.984 Å, b = 6.101 Å, c = 10.520 Å
α = 90.00°, β = 90.00°, γ = 90.00°
Sites, in units of the cell vectors:
Ac 0.000 0.000 0.000
Pr 0.000 0.500 0.500
Mg 0.000 0.000 0.338
Mg 0.000 0.000 0.662
Mg 0.000 0.500 0.173
Mg 0.000 0.500 0.827
Mg 0.500 0.000 0.500
Mg 0.500 0.252 0.254
Mg 0.500 0.252 0.746
Mg 0.500 0.500 0.000
Mg 0.500 0.748 0.254
Mg 0.500 0.748 0.746

=====

[10]
## AcPr7Mg2 (PBE-GGA)

Data for a relaxed structure of AcPr7Mg2.

Computed properties:
VASP energy = -3.94 eV per atom
symmetry = P2/m (10)

a = 9.012 Å, b = 3.547 Å, c = 11.887 Å
α = 90.00°, β = 111.28°, γ = 90.00°
Sites, in units of the cell vectors:
Ac 0.000 0.000 0.000
Pr 0.000 0.500 0.500
Pr 0.196 0.500 0.805
Pr 0.226 0.500 0.316
Pr 0.400 0.000 0.619
Pr 0.600 0.000 0.381
Pr 0.774 0.500 0.684
Pr 0.804 0.500 0.195
Mg 0.401 0.500 0.103
Mg 0.599 0.500 0.897

=====

[11]
## Ac4PrMg (PBE-GGA)

Data for a relaxed structure of Ac4PrMg.

Computed properties:
VASP energy = -3.81 eV per atom
symmetry = P4/mmm (123)

a = 3.984 Å, b = 3.984 Å, c = 15.194 Å
α = 90.00°, β = 90.00°, γ = 90.00°
Sites, in units of the cell vectors:
Ac 0.000 0.000 0.144
Ac 0.000 0.000 0.856
Ac 0.500 0.500 0.328
Ac 0.500 0.500 0.672
Pr 0.000 0.000 0.500
Mg 0.500 0.500 0.000

=====

[12]
## Ac3Pr6Mg (PBE-GGA)

Data for a relaxed structure of Ac3Pr6Mg.

Computed properties:
VASP energy = -4.24 eV per atom
symmetry = P2_1/m (11)

a = 10.895 Å, b = 5.624 Å, c = 12.333 Å
α = 90.00°, β = 97.93°, γ = 90.00°
Sites, in units of the cell vectors:
Ac 0.052 0.250 0.406
Ac 0.155 0.750 0.216
Ac 0.267 0.250 0.022
Ac 0.733 0.750 0.978
Ac 0.845 0.250 0.784
Ac 0.948 0.750 0.594
Pr 0.053 0.750 0.904
Pr 0.179 0.250 0.712
Pr 0.282 0.750 0.520
Pr 0.358 0.750 0.839
Pr 0.376 0.250 0.321
Pr 0.468 0.750 0.144
Pr 0.532 0.250 0.856
Pr 0.624 0.750 0.679
Pr 0.642 0.250 0.161
Pr 0.718 0.250 0.480
Pr 0.821 0.750 0.288
Pr 0.947 0.250 0.096
Mg 0.449 0.250 0.592
Mg 0.551 0.750 0.408

=====

[13]
## AcPr3Mg8 (PBE-GGA)

Data for a relaxed structure of AcPr3Mg8.

Computed properties:
VASP energy = -2.70 eV per atom
symmetry = P3m1 (156)

a = 6.230 Å, b = 6.230 Å, c = 10.111 Å
α = 90.00°, β = 90.00°, γ = 120.00°
Sites, in units of the cell vectors:
Ac 0.000 0.000 0.000
Pr 0.000 0.000 0.380
Pr 0.667 0.333 0.493
Pr 0.667 0.333 0.859
Mg 0.165 0.329 0.681
Mg 0.165 0.835 0.681
Mg 0.333 0.667 0.433
Mg 0.333 0.667 0.932
Mg 0.504 0.008 0.187
Mg 0.504 0.496 0.187
Mg 0.671 0.835 0.681
Mg 0.992 0.496 0.187

=====

[14]
## Ac3Pr2Mg2 (PBE-GGA)

Data for a relaxed structure of Ac3Pr2Mg2.

Computed properties:
VASP energy = -3.51 eV per atom
symmetry = Cmmm (65)

a = 12.870 Å, b = 12.870 Å, c = 3.762 Å
α = 90.00°, β = 90.00°, γ = 155.37°
Sites, in units of the cell vectors:
Ac 0.000 0.000 0.000
Ac 0.147 0.853 0.000
Ac 0.853 0.147 0.000
Pr 0.286 0.714 0.500
Pr 0.714 0.286 0.500
Mg 0.429 0.571 0.500
Mg 0.571 0.429 0.500

=====

[15]
## Ac2PrMg4 (PBE-GGA)

Data for a relaxed structure of Ac2PrMg4.

Computed properties:
VASP energy = -2.65 eV per atom
symmetry = I4/mmm (139)

a = 8.625 Å, b = 8.625 Å, c = 8.625 Å
α = 141.32°, β = 141.32°, γ = 55.86°
Sites, in units of the cell vectors:
Ac 0.243 0.243 0.000
Ac 0.757 0.757 0.000
Pr 0.500 0.500 0.000
Mg 0.108 0.608 0.500
Mg 0.392 0.892 0.500
Mg 0.608 0.108 0.500
Mg 0.892 0.392 0.500

=====

[16]
## AcPr2Mg2 (PBE-GGA)

Data for a relaxed structure of AcPr2Mg2.

Computed properties:
VASP energy = -3.34 eV per atom
symmetry = Cmmm (65)

a = 10.842 Å, b = 10.842 Å, c = 3.913 Å
α = 90.00°, β = 90.00°, γ = 158.43°
Sites, in units of the cell vectors:
Ac 0.000 0.000 0.000
Pr 0.184 0.816 0.000
Pr 0.816 0.184 0.000
Mg 0.400 0.600 0.500
Mg 0.600 0.400 0.500

=====

[17]
## Ac14PrMg (PBE-GGA)

Data for a relaxed structure of Ac14PrMg.

Computed properties:
VASP energy = -3.98 eV per atom
symmetry = Amm2 (38)

a = 11.188 Å, b = 7.856 Å, c = 7.856 Å
α = 89.99°, β = 90.00°, γ = 90.00°
Sites, in units of the cell vectors:
Ac 0.000 0.000 0.000
Ac 0.000 0.001 0.500
Ac 0.000 0.500 0.001
Ac 0.000 0.500 0.500
Ac 0.255 0.750 0.750
Ac 0.256 0.249 0.751
Ac 0.256 0.751 0.249
Ac 0.257 0.249 0.249
Ac 0.500 0.501 0.999
Ac 0.500 0.999 0.501
Ac 0.743 0.249 0.249
Ac 0.744 0.249 0.751
Ac 0.744 0.751 0.249
Ac 0.745 0.750 0.750
Pr 0.500 0.500 0.500
Mg 0.500 0.000 0.000

=====

[18]
## AcPr5Mg4 (PBE-GGA)

Data for a relaxed structure of AcPr5Mg4.

Computed properties:
VASP energy = -3.52 eV per atom
symmetry = P4/mmm (123)

a = 3.908 Å, b = 3.908 Å, c = 20.997 Å
α = 90.00°, β = 90.00°, γ = 90.00°
Sites, in units of the cell vectors:
Ac 0.000 0.000 0.000
Pr 0.500 0.500 0.127
Pr 0.500 0.500 0.314
Pr 0.500 0.500 0.500
Pr 0.500 0.500 0.686
Pr 0.500 0.500 0.873
Mg 0.000 0.000 0.220
Mg 0.000 0.000 0.406
Mg 0.000 0.000 0.594
Mg 0.000 0.000 0.780

=====

[19]
## Ac2Pr7Mg (PBE-GGA)

Data for a relaxed structure of Ac2Pr7Mg.

Computed properties:
VASP energy = -4.17 eV per atom
symmetry = Cmmm (65)

a = 15.555 Å, b = 15.555 Å, c = 3.578 Å
α = 90.00°, β = 90.00°, γ = 154.54°
Sites, in units of the cell vectors:
Ac 0.205 0.795 0.000
Ac 0.795 0.205 0.000
Pr 0.000 0.000 0.000
Pr 0.166 0.354 0.000
Pr 0.316 0.684 0.500
Pr 0.354 0.166 0.000
Pr 0.646 0.834 0.000
Pr 0.684 0.316 0.500
Pr 0.834 0.646 0.000
Mg 0.500 0.500 0.500

=====

[20]
## AcPr8Mg2 (PBE-GGA)

Data for a relaxed structure of AcPr8Mg2.

Computed properties:
VASP energy = -4.13 eV per atom
symmetry = C2/m (12)

a = 9.261 Å, b = 9.261 Å, c = 8.604 Å
α = 111.39°, β = 111.39°, γ = 34.23°
Sites, in units of the cell vectors:
Ac 0.000 0.000 0.000
Pr 0.100 0.100 0.472
Pr 0.188 0.188 0.951
Pr 0.351 0.351 0.791
Pr 0.448 0.448 0.266
Pr 0.552 0.552 0.734
Pr 0.649 0.649 0.209
Pr 0.812 0.812 0.049
Pr 0.900 0.900 0.528
Mg 0.274 0.274 0.368
Mg 0.726 0.726 0.632

=====

[21]
## Ac2Pr8Mg (PBE-GGA)

Data for a relaxed structure of Ac2Pr8Mg.

Computed properties:
VASP energy = -4.34 eV per atom
symmetry = C2/m (12)

a = 9.817 Å, b = 9.817 Å, c = 8.314 Å
α = 105.01°, β = 105.01°, γ = 31.45°
Sites, in units of the cell vectors:
Ac 0.225 0.225 0.140
Ac 0.775 0.775 0.860
Pr 0.043 0.043 0.224
Pr 0.134 0.134 0.673
Pr 0.323 0.323 0.593
Pr 0.413 0.413 0.055
Pr 0.587 0.587 0.945
Pr 0.677 0.677 0.407
Pr 0.866 0.866 0.327
Pr 0.957 0.957 0.776
Mg 0.500 0.500 0.500

=====

[22]
## AcPr6Mg (PBE-GGA)

Data for a relaxed structure of AcPr6Mg.

Computed properties:
VASP energy = -4.28 eV per atom
symmetry = P4/mmm (123)

a = 5.218 Å, b = 5.218 Å, c = 10.419 Å
α = 90.00°, β = 90.00°, γ = 90.00°
Sites, in units of the cell vectors:
Ac 0.000 0.000 0.000
Pr 0.000 0.500 0.260
Pr 0.000 0.500 0.740
Pr 0.500 0.000 0.260
Pr 0.500 0.000 0.740
Pr 0.500 0.500 0.000
Pr 0.500 0.500 0.500
Mg 0.000 0.000 0.500

=====

[23]
## Ac2PrMg4 (PBE-GGA)

Data for a relaxed structure of Ac2PrMg4.

Computed properties:
VASP energy = -2.29 eV per atom
symmetry = I4/mmm (139)

a = 9.568 Å, b = 9.568 Å, c = 9.568 Å
α = 145.08°, β = 145.08°, γ = 50.21°
Sites, in units of the cell vectors:
Ac 0.114 0.114 0.000
Ac 0.886 0.886 0.000
Pr 0.500 0.500 0.000
Mg 0.000 0.500 0.500
Mg 0.321 0.321 0.000
Mg 0.500 0.000 0.500
Mg 0.679 0.679 0.000